# LiLa2TeO6 | Alexandria | PBE-GGA | optimized geometry
# **ΔE_f (raw)**: -2390 meV/atom
# **DFT total energy**: -6.856 eV per atom
# **Theoretical density**: 6.11 g/cm3
data_LiLa2TeO6
_chemical_formula_sum 'Li2 La4 Te2 O12'
_space_group_name_H-M_alt 'P 1'
_space_group_IT_number 1
_cell_length_a 5.6989
_cell_length_b 5.9420
_cell_length_c 8.1648
_cell_angle_alpha 90.00
_cell_angle_beta 89.15
_cell_angle_gamma 90.00
loop_
_space_group_symop_operation_xyz
'x,y,z'
loop_
_atom_site_label
_atom_site_fract_x
_atom_site_fract_y
_atom_site_fract_z
Te1 0.0000 0.5000 0.0000
O1 0.6089 0.0421 0.2579
O2 0.7925 0.8078 0.5524
O3 0.8911 0.5421 0.2421
O4 0.7075 0.3078 0.9476
La1 0.4829 0.4419 0.2480
O5 0.2075 0.1922 0.4476
La2 0.9829 0.0581 0.7480
La3 0.5171 0.5581 0.7520
Te2 0.5000 0.0000 0.5000
O6 0.1885 0.2113 0.0608
Li1 0.5000 0.0000 0.0000
La4 0.0171 0.9419 0.2520
O7 0.2925 0.6922 0.0524
O8 0.1089 0.4579 0.7579
O9 0.3911 0.9579 0.7421
O10 0.3115 0.7113 0.4392
O11 0.6885 0.2887 0.5608
Li2 0.0000 0.5000 0.5000
O12 0.8115 0.7887 0.9392

***

# IrOsPt4 | Alexandria | PBE-GGA | optimized geometry
# **DFT total energy**: -6.659 eV per atom
# **Theoretical density**: 19.72 g/cm3
# **Energy of formation from the pure elements**: 0.717 eV per atom
data_IrOsPt4
_chemical_formula_sum 'Ir1 Os1 Pt4'
_space_group_name_H-M_alt 'P 1'
_space_group_IT_number 1
_cell_length_a 5.1733
_cell_length_b 5.1733
_cell_length_c 5.1733
_cell_angle_alpha 60.00
_cell_angle_beta 60.00
_cell_angle_gamma 60.00
loop_
_space_group_symop_operation_xyz
'x,y,z'
loop_
_atom_site_label
_atom_site_fract_x
_atom_site_fract_y
_atom_site_fract_z
Pt1 0.6250 0.6250 0.6250
Os1 0.0000 0.0000 0.0000
Pt2 0.6250 0.1251 0.6250
Pt3 0.6250 0.6250 0.1251
Ir1 0.2500 0.2500 0.2500
Pt4 0.1251 0.6250 0.6250